[1]
## ZnFeRe2 (PBE)

Data for a relaxed structure of ZnFeRe2.

Results
Energy of formation in eV per atom: 0.23

a b c (Å): 3.734 3.734 7.895
angles (deg): 90.00 90.00 90.00
Positions (direct):
Zn 0.000 0.000 0.000
Zn 0.500 0.500 0.500
Fe 0.000 0.000 0.500
Fe 0.500 0.500 0.000
Re 0.000 0.500 0.250
Re 0.000 0.500 0.750
Re 0.500 0.000 0.250
Re 0.500 0.000 0.750

[2]
## ZnFe2Re (PBE)

Data for a relaxed structure of ZnFe2Re.

Results
Energy of formation in eV per atom: 0.13

a b c (Å): 2.635 3.748 5.212
angles (deg): 90.00 90.00 90.00
Positions (direct):
Zn 0.000 0.000 0.000
Fe 0.500 0.500 0.259
Fe 0.500 0.500 0.741
Re 0.000 0.000 0.500

[3]
## ZnFeRe2 (PBE)

Data for a relaxed structure of ZnFeRe2.

Results
Energy of formation in eV per atom: 0.21

a b c (Å): 2.998 4.333 8.719
angles (deg): 90.00 90.00 90.00
Positions (direct):
Zn 0.000 0.000 0.000
Zn 0.500 0.500 0.000
Fe 0.000 0.000 0.500
Fe 0.500 0.500 0.500
Re 0.000 0.500 0.259
Re 0.000 0.500 0.741
Re 0.500 0.000 0.259
Re 0.500 0.000 0.741

[4]
## ZnFeRe2 (PBE)

Data for a relaxed structure of ZnFeRe2.

Results
Energy of formation in eV per atom: 0.32

a b c (Å): 5.232 8.055 2.646
angles (deg): 90.00 90.00 90.00
Positions (direct):
Zn 0.000 0.000 0.000
Zn 0.500 0.500 0.000
Fe 0.000 0.500 0.000
Fe 0.500 0.000 0.000
Re 0.250 0.250 0.500
Re 0.250 0.750 0.500
Re 0.750 0.250 0.500
Re 0.750 0.750 0.500

[5]
## ZnFe2Re (PBE)

Data for a relaxed structure of ZnFe2Re.

Results
Energy of formation in eV per atom: 0.14

a b c (Å): 2.672 2.672 25.459
angles (deg): 90.00 90.00 120.00
Positions (direct):
Zn 0.000 0.000 0.000
Zn 0.333 0.667 0.667
Zn 0.667 0.333 0.333
Fe 0.000 0.000 0.250
Fe 0.000 0.000 0.417
Fe 0.333 0.667 0.084
Fe 0.333 0.667 0.917
Fe 0.667 0.333 0.583
Fe 0.667 0.333 0.750
Re 0.000 0.000 0.834
Re 0.333 0.667 0.501
Re 0.667 0.333 0.168

[6]
## ZnFe2Re2 (PBE)

Data for a relaxed structure of ZnFe2Re2.

Results
Energy of formation in eV per atom: 0.23

a b c (Å): 7.129 7.129 2.662
angles (deg): 90.00 90.00 90.00
Positions (direct):
Zn 0.000 0.000 0.000
Zn 0.500 0.500 0.000
Fe 0.124 0.376 0.000
Fe 0.376 0.876 0.000
Fe 0.624 0.124 0.000
Fe 0.876 0.624 0.000
Re 0.167 0.667 0.500
Re 0.333 0.167 0.500
Re 0.667 0.833 0.500
Re 0.833 0.333 0.500

[7]
## ZnFe2Re (PBE)

Data for a relaxed structure of ZnFe2Re.

Results
Energy of formation in eV per atom: 0.09

a b c (Å): 3.091 4.141 8.257
angles (deg): 90.00 90.00 90.00
Positions (direct):
Zn 0.000 0.000 0.000
Zn 0.500 0.500 0.000
Fe 0.000 0.500 0.248
Fe 0.000 0.500 0.752
Fe 0.500 0.000 0.248
Fe 0.500 0.000 0.752
Re 0.000 0.000 0.500
Re 0.500 0.500 0.500

[8]
## ZnFe2Re (PBE)

Data for a relaxed structure of ZnFe2Re.

Results
Energy of formation in eV per atom: 0.13

a b c (Å): 3.065 4.166 8.308
angles (deg): 90.00 90.00 90.00
Positions (direct):
Zn 0.000 0.000 0.000
Zn 0.500 0.500 0.000
Fe 0.000 0.000 0.477
Fe 0.000 0.500 0.247
Fe 0.500 0.000 0.247
Fe 0.500 0.500 0.477
Re 0.000 0.500 0.728
Re 0.500 0.000 0.728

[9]
## ZnFe2Re (PBE)

Data for a relaxed structure of ZnFe2Re.

Results
Energy of formation in eV per atom: 0.75

a b c (Å): 6.580 6.580 5.174
angles (deg): 90.00 90.00 90.00
Positions (direct):
Zn 0.000 0.000 0.000
Zn 0.000 0.500 0.250
Zn 0.500 0.000 0.750
Zn 0.500 0.500 0.500
Fe 0.219 0.250 0.625
Fe 0.250 0.719 0.875
Fe 0.250 0.781 0.375
Fe 0.281 0.250 0.125
Fe 0.719 0.750 0.125
Fe 0.750 0.219 0.375
Fe 0.750 0.281 0.875
Fe 0.781 0.750 0.625
Re 0.000 0.000 0.500
Re 0.000 0.500 0.750
Re 0.500 0.000 0.250
Re 0.500 0.500 0.000

[10]
## ZnFe2Re (PBE)

Data for a relaxed structure of ZnFe2Re.

Results
Energy of formation in eV per atom: 0.15

a b c (Å): 5.256 7.506 2.616
angles (deg): 90.00 90.00 90.00
Positions (direct):
Zn 0.000 0.000 0.000
Zn 0.500 0.500 0.000
Fe 0.250 0.250 0.500
Fe 0.250 0.750 0.500
Fe 0.750 0.250 0.500
Fe 0.750 0.750 0.500
Re 0.000 0.500 0.000
Re 0.500 0.000 0.000

[11]
## ZnFeRe2 (PBE)

Data for a relaxed structure of ZnFeRe2.

Results
Energy of formation in eV per atom: 0.76

a b c (Å): 7.101 7.101 4.884
angles (deg): 90.00 90.00 90.00
Positions (direct):
Zn 0.000 0.000 0.000
Zn 0.000 0.500 0.250
Zn 0.500 0.000 0.750
Zn 0.500 0.500 0.500
Fe 0.000 0.000 0.500
Fe 0.000 0.500 0.750
Fe 0.500 0.000 0.250
Fe 0.500 0.500 0.000
Re 0.190 0.250 0.625
Re 0.250 0.690 0.875
Re 0.250 0.810 0.375
Re 0.310 0.250 0.125
Re 0.690 0.750 0.125
Re 0.750 0.190 0.375
Re 0.750 0.310 0.875
Re 0.810 0.750 0.625

[12]
## ZnFeRe2 (PBE)

Data for a relaxed structure of ZnFeRe2.

Results
Energy of formation in eV per atom: 0.19

a b c (Å): 2.670 2.670 7.671
angles (deg): 90.00 90.00 90.00
Positions (direct):
Zn 0.000 0.000 0.000
Fe 0.000 0.000 0.500
Re 0.500 0.500 0.269
Re 0.500 0.500 0.731

Calculated VASP energy in order - -0.6196, -0.5532, -0.6206, -0.6131, -0.5525, -0.6165, -0.5563, -0.5536, -0.5080, -0.5525, -0.5802, -0.6223 Ry/atom